(1)
The following is a DFT calculation (GGA-PBE) of a relaxed structure of TmLuAgSn. Values from VASP.

Computed properties:
- energy of formation from the pure elements (meV/atom) = -461
- total magnetic moment (Bohr magnetons per cell) = 0.24
- crystal system = cubic

Structure (Quantum ESPRESSO input):
```
&SYSTEM
  ibrav = 0, nat = 4, ntyp = 4
/
ATOMIC_SPECIES
Lu 174.97 Lu.upf
Sn 118.71 Sn.upf
Ag 107.87 Ag.upf
Tm 168.93 Tm.upf
CELL_PARAMETERS angstrom
-2.253 2.420 3.946
0.067 -2.114 4.693
2.880 2.087 3.722
ATOMIC_POSITIONS crystal
Lu 0.750 0.750 0.750
Sn 0.500 0.500 0.500
Ag 0.000 0.000 0.000
Tm 0.250 0.250 0.250
```

***

(2)
The following is a DFT calculation (GGA-PBE) of a relaxed structure of BaAuSe. Values from VASP.

Computed properties:
- energy above the lowest structure with this stoichiometry (meV/atom) = 285.7
- total magnetic moment (Bohr magnetons per cell) = 0.00
- crystal system = cubic

Structure (Quantum ESPRESSO input):
```
&SYSTEM
  ibrav = 0, nat = 3, ntyp = 3
/
ATOMIC_SPECIES
Ba 137.33 Ba.upf
Au 196.97 Au.upf
Se 78.96 Se.upf
CELL_PARAMETERS angstrom
5.219 0.000 0.000
2.610 4.520 0.000
2.610 1.507 4.261
ATOMIC_POSITIONS crystal
Ba 0.500 0.500 0.500
Au 0.000 0.000 0.000
Se 0.750 0.750 0.750
```

***

(3)
The following is a DFT calculation (GGA-PBE) of a relaxed structure of MnTl2CuBr6. Values from VASP.

Computed properties:
- energy (eV per atom) = -3.45
- total magnetic moment (Bohr magnetons per cell) = 3.99
- crystal system = triclinic

Structure (Quantum ESPRESSO input):
```
&SYSTEM
  ibrav = 0, nat = 10, ntyp = 4
/
ATOMIC_SPECIES
Br 79.90 Br.upf
Tl 204.38 Tl.upf
Mn 54.94 Mn.upf
Cu 63.55 Cu.upf
CELL_PARAMETERS angstrom
-1.336 6.922 -2.643
-5.890 1.209 -4.507
-6.109 3.992 2.754
ATOMIC_POSITIONS crystal
Br 0.622 0.101 0.764
Br 0.573 0.149 0.238
Br 0.101 0.513 0.764
Br 0.040 0.572 0.239
Br 0.512 0.622 0.765
Br 0.149 0.040 0.238
Tl 0.043 0.043 0.870
Tl 0.563 0.562 0.312
Mn 0.323 0.322 0.033
Cu 0.736 0.736 0.792
```

***

(4)
The following is a DFT calculation (GGA-PBE) of a relaxed structure of YMo2W. Values from VASP.

Computed properties:
- energy of formation from the pure elements (meV/atom) = 269
- energy above the lowest structure with this stoichiometry (meV/atom) = 0.0
- total magnetic moment (Bohr magnetons per cell) = 0.00
- crystal system = tetragonal

Structure (Quantum ESPRESSO input):
```
&SYSTEM
  ibrav = 0, nat = 4, ntyp = 3
/
ATOMIC_SPECIES
Y 88.91 Y.upf
W 183.84 W.upf
Mo 95.94 Mo.upf
CELL_PARAMETERS angstrom
-1.420 -1.725 2.319
-0.222 -2.511 -2.003
6.474 -2.345 2.219
ATOMIC_POSITIONS crystal
Y 0.500 0.500 0.750
W 0.500 0.500 0.250
Mo 0.000 0.000 0.457
Mo 0.000 0.000 0.043
```

***

(5)
The following is a DFT calculation (GGA-PBE) of a relaxed structure of Zn2Pb3. Values from VASP.

Computed properties:
- energy of formation from the pure elements (meV/atom) = 124
- energy above the lowest structure with this stoichiometry (meV/atom) = 0.0
- total magnetic moment (Bohr magnetons per cell) = 0.00
- crystal system = orthorhombic

Structure (Quantum ESPRESSO input):
```
&SYSTEM
  ibrav = 0, nat = 10, ntyp = 2
/
ATOMIC_SPECIES
Pb 207.20 Pb.upf
Zn 65.41 Zn.upf
CELL_PARAMETERS angstrom
7.332 0.662 11.144
4.386 6.586 8.324
0.245 -5.545 4.575
ATOMIC_POSITIONS crystal
Pb 0.979 0.741 0.816
Pb 0.464 0.816 0.741
Pb 0.211 0.289 0.289
Pb 0.509 0.271 0.786
Pb 0.961 0.039 0.039
Pb 0.434 0.786 0.271
Zn 0.963 0.475 0.929
Zn 0.634 0.929 0.475
Zn 0.321 0.616 0.287
Zn 0.775 0.287 0.616
```

***

(6)
The following is a DFT calculation (GGA-PBE) of a relaxed structure of TbSm2ErIn2. Values from VASP.

Computed properties:
- energy of formation from the pure elements (meV/atom) = -354
- total magnetic moment (Bohr magnetons per cell) = 0.00
- crystal system = orthorhombic

Structure (Quantum ESPRESSO input):
```
&SYSTEM
  ibrav = 0, nat = 12, ntyp = 4
/
ATOMIC_SPECIES
Sm 150.36 Sm.upf
In 114.82 In.upf
Er 167.26 Er.upf
Tb 158.93 Tb.upf
CELL_PARAMETERS angstrom
5.231 0.000 0.000
0.000 6.774 0.000
0.000 0.000 9.920
ATOMIC_POSITIONS crystal
Sm 0.000 0.821 0.819
Sm 0.000 0.321 0.181
Sm 0.500 0.042 0.039
Sm 0.500 0.542 0.961
In 0.000 0.796 0.149
In 0.500 0.721 0.637
In 0.000 0.296 0.851
In 0.500 0.221 0.363
Er 0.500 0.194 0.680
Er 0.500 0.694 0.320
Tb 0.000 0.472 0.538
Tb 0.000 0.972 0.462
```

***

(7)
The following is a DFT calculation (GGA-PBE) of a relaxed structure of Ce3Tm2PuSe6. Values from VASP.

Computed properties:
- energy (eV per atom) = -6.90
- total magnetic moment (Bohr magnetons per cell) = 8.70
- crystal system = monoclinic

Structure (Quantum ESPRESSO input):
```
&SYSTEM
  ibrav = 0, nat = 12, ntyp = 4
/
ATOMIC_SPECIES
Ce 140.12 Ce.upf
Se 78.96 Se.upf
Pu 244.00 Pu.upf
Tm 168.93 Tm.upf
CELL_PARAMETERS angstrom
-5.450 -2.534 -3.823
0.118 -0.889 7.067
-1.522 7.039 -0.285
ATOMIC_POSITIONS crystal
Ce 0.500 0.500 0.500
Ce 0.164 0.836 0.500
Ce 0.836 0.164 0.500
Se 0.079 0.418 0.238
Se 0.261 0.261 0.766
Se 0.582 0.921 0.762
Se 0.739 0.739 0.234
Se 0.418 0.079 0.238
Se 0.921 0.582 0.762
Pu 0.000 0.000 0.000
Tm 0.333 0.667 0.000
Tm 0.667 0.333 0.000
```

***

(8)
The following is a DFT calculation (GGA-PBE) of a relaxed structure of Rb2PaCl3F3. Values from VASP.

Computed properties:
- energy (eV per atom) = -5.18
- total magnetic moment (Bohr magnetons per cell) = 1.00
- crystal system = hexagonal

Structure (Quantum ESPRESSO input):
```
&SYSTEM
  ibrav = 0, nat = 9, ntyp = 4
/
ATOMIC_SPECIES
Pa 231.04 Pa.upf
Cl 35.45 Cl.upf
F 19.00 F.upf
Rb 85.47 Rb.upf
CELL_PARAMETERS angstrom
-2.790 0.393 -2.527
-4.774 -4.719 4.536
0.067 8.016 1.174
ATOMIC_POSITIONS crystal
Pa 0.000 0.000 0.000
Cl 0.000 0.350 0.000
Cl 0.000 0.000 0.350
Cl 0.000 0.650 0.650
F 0.500 0.817 0.000
F 0.500 0.183 0.183
F 0.500 0.000 0.817
Rb 0.500 0.333 0.667
Rb 0.500 0.667 0.333
```

***

(9)
The following is a DFT calculation (GGA-PBE) of a relaxed structure of Te4Au2Cl3. Values from VASP.

Computed properties:
- energy (eV per atom) = -2.92
- total magnetic moment (Bohr magnetons per cell) = 0.00
- crystal system = monoclinic

Structure (Quantum ESPRESSO input):
```
&SYSTEM
  ibrav = 0, nat = 18, ntyp = 3
/
ATOMIC_SPECIES
Te 127.60 Te.upf
Cl 35.45 Cl.upf
Au 196.97 Au.upf
CELL_PARAMETERS angstrom
-3.464 -5.512 -0.308
7.356 -0.999 -7.301
6.443 -1.285 8.078
ATOMIC_POSITIONS crystal
Te 0.035 0.695 0.160
Te 0.965 0.305 0.840
Te 0.465 0.840 0.305
Te 0.058 0.295 0.307
Te 0.535 0.160 0.695
Te 0.942 0.705 0.693
Te 0.442 0.693 0.705
Te 0.558 0.307 0.295
Cl 0.250 0.551 0.449
Cl 0.418 0.192 0.059
Cl 0.082 0.941 0.808
Cl 0.582 0.808 0.941
Cl 0.750 0.449 0.551
Cl 0.918 0.059 0.192
Au 0.492 0.903 0.578
Au 0.508 0.097 0.422
Au 0.992 0.578 0.903
Au 0.008 0.422 0.097
```

***

(10)
The following is a DFT calculation (GGA-PBE) of a relaxed structure of SrZrTa2. Values from VASP.

Computed properties:
- energy of formation from the pure elements (meV/atom) = 1214
- energy above the lowest structure with this stoichiometry (meV/atom) = 800.7
- total magnetic moment (Bohr magnetons per cell) = 0.00
- crystal system = tetragonal

Structure (Quantum ESPRESSO input):
```
&SYSTEM
  ibrav = 0, nat = 8, ntyp = 3
/
ATOMIC_SPECIES
Ta 180.95 Ta.upf
Zr 91.22 Zr.upf
Sr 87.62 Sr.upf
CELL_PARAMETERS angstrom
-2.980 2.619 -1.609
-2.316 -3.387 -1.222
-7.618 -0.336 7.869
ATOMIC_POSITIONS crystal
Ta 0.101 0.625 0.250
Ta 0.875 0.899 0.750
Ta 0.375 0.351 0.750
Ta 0.649 0.125 0.250
Zr 0.000 0.000 0.000
Zr 0.750 0.250 0.500
Sr 0.500 0.500 0.000
Sr 0.250 0.750 0.500
```